(1)
DFT (PBE) results for a relaxed structure of Sr5Ca2Zn.

Values from the calculation:
calculated density	2.7	g/cm³
space-group type	Pbam
density of states at the Fermi level	1.2090	states/eV per atom
magnetization	0.00	μB per atom
E_form	-0.14	eV/f.u.

abc: 4.080 9.733 18.301
angles: 90.00 90.00 90.00
Fractional positions:
Sr 0.500 0.693 0.106
Sr 0.500 0.193 0.394
Sr 0.000 0.496 0.725
Sr 0.000 0.500 0.500
Sr 0.000 0.996 0.775
Sr 0.500 0.307 0.894
Ca 0.500 0.311 0.104
Ca 0.500 0.189 0.604
Sr 0.000 0.504 0.275
Sr 0.000 0.004 0.225
Zn 0.000 0.500 0.000
Sr 0.000 0.000 0.000
Zn 0.000 0.000 0.500
Ca 0.500 0.811 0.396
Ca 0.500 0.689 0.896
Sr 0.500 0.807 0.606

---

(2)
DFT (PBE) results for a relaxed structure of Sr2CaZn2.

Values from the calculation:
calculated density	3.4	g/cm³
polymorph energy (0 for the lowest one)	0	meV per atom
space-group type	P4/mbm
density of states at the Fermi level	1.1797	states/eV per atom
magnetization	0.00	μB per atom
E_form	-0.80	eV/f.u.

abc: 8.339 8.339 4.811
angles: 90.00 90.00 90.00
Fractional positions:
Zn 0.384 0.884 0.000
Ca 0.500 0.500 0.000
Zn 0.616 0.116 0.000
Sr 0.827 0.327 0.500
Zn 0.884 0.616 0.000
Ca 0.000 0.000 0.000
Sr 0.673 0.827 0.500
Sr 0.173 0.673 0.500
Zn 0.116 0.384 0.000
Sr 0.327 0.173 0.500

---

(3)
DFT (PBE) results for a relaxed structure of Sr4Ca3Zn2.

Values from the calculation:
calculated density	2.7	g/cm³
space-group type	C2/m
density of states at the Fermi level	1.1804	states/eV per atom
magnetization	0.00	μB per atom
E_form	-0.61	eV/f.u.

abc: 4.291 10.140 9.803
angles: 115.68 102.64 90.00
Fractional positions:
Sr 0.770 0.349 0.540
Ca 0.000 0.500 0.000
Ca 0.926 0.804 0.851
Zn 0.400 0.569 0.801
Sr 0.377 0.120 0.755
Zn 0.600 0.431 0.199
Sr 0.230 0.651 0.460
Ca 0.074 0.196 0.149
Sr 0.623 0.880 0.245

---

(4)
DFT (PBE) results for a relaxed structure of Sr3Ca7Zn4.

Values from the calculation:
calculated density	2.7	g/cm³
space-group type	C2/m
density of states at the Fermi level	1.0150	states/eV per atom
magnetization	0.00	μB per atom
E_form	-1.39	eV/f.u.

abc: 4.126 10.462 12.374
angles: 72.27 80.40 78.63
Fractional positions:
Ca 0.000 0.000 0.000
Ca 0.490 0.772 0.248
Ca 0.682 0.158 0.478
Zn 0.863 0.954 0.319
Sr 0.699 0.798 0.805
Zn 0.362 0.558 0.718
Ca 0.510 0.228 0.752
Ca 0.161 0.589 0.090
Ca 0.318 0.842 0.522
Sr 0.301 0.202 0.195
Sr 0.000 0.500 0.500
Ca 0.839 0.411 0.910
Zn 0.137 0.046 0.681
Zn 0.638 0.442 0.282

---

(5)
DFT (PBE) results for a relaxed structure of Sr2CaZn.

Values from the calculation:
calculated density	3.0	g/cm³
space-group type	P2/m
density of states at the Fermi level	0.8310	states/eV per atom
magnetization	0.00	μB per atom
E_form	-0.39	eV/f.u.

abc: 3.921 3.978 10.693
angles: 68.23 90.00 90.00
Fractional positions:
Ca 0.500 0.750 0.750
Sr 0.000 0.560 0.441
Zn 0.500 0.250 0.250
Sr 0.000 0.940 0.059

---

(6)
DFT (PBE) results for a relaxed structure of Sr3CaZn.

Values from the calculation:
calculated density	2.6	g/cm³
polymorph energy (0 for the lowest one)	61	meV per atom
space-group type	Pm-3m
density of states at the Fermi level	1.7380	states/eV per atom
magnetization	0.00	μB per atom
E_form	0.14	eV/f.u.

abc: 6.211 6.211 6.211
angles: 90.00 90.00 90.00
Fractional positions:
Sr 0.000 0.000 0.500
Sr 0.500 0.000 0.000
Sr 0.000 0.500 0.000
Zn 0.000 0.000 0.000
Ca 0.500 0.500 0.500

---

(7)
DFT (PBE) results for a relaxed structure of Sr2CaZn.

Values from the calculation:
calculated density	2.8	g/cm³
space-group type	R3m
density of states at the Fermi level	1.2812	states/eV per atom
magnetization	0.00	μB per atom
E_form	0.03	eV/f.u.

abc: 4.190 4.190 11.402
angles: 79.41 79.41 60.00
Fractional positions:
Sr 0.066 0.066 0.803
Sr 0.267 0.267 0.198
Zn 0.667 0.667 0.000
Ca 0.500 0.500 0.499

---

(8)
DFT (PBE) results for a relaxed structure of SrCaZn2.

Values from the calculation:
calculated density	2.7	g/cm³
space-group type	Immm
density of states at the Fermi level	1.1946	states/eV per atom
magnetization	0.00	μB per atom
E_form	2.11	eV/f.u.

abc: 7.392 7.392 7.392
angles: 150.18 62.04 126.96
Fractional positions:
Zn 0.242 0.000 0.242
Ca 0.000 0.000 0.000
Zn 0.758 0.000 0.758
Sr 0.500 0.000 0.500

---

Number 2 is which compound? Sr2CaZn2

---

Which value of calculated density does entry 3 give? 2.7 g/cm³